Here is a relaxed LiSe2 crystal from Alexandria. Energies are from GGA-PBE.

Cell lengths 4.1337, 4.1337, 4.0137 Å; angles 90.00, 90.00, 120.00 degrees
Sites, in units of the cell vectors:
Li1 0.0000 0.0000 0.0000
Se1 0.3333 0.6667 0.7334
Se2 0.6667 0.3333 0.2666

## Properties
E, eV/cell: -9.5
Spin magnetization, μB per formula unit: 0.00
ΔE_f (raw), eV per formula unit: -0.6